The following is a GGA-PBE calculation of a relaxed PmAs2Pd2Rh crystal, from Alexandria via LeMat-Bulk.

a b c (Å): 3.943 3.943 9.588
angles (deg): 101.87 101.87 90.00
Fractional coordinates of all 6 atoms:
Pd 0.250 0.750 0.500
Pd 0.750 0.250 0.500
Pm 0.500 0.500 0.000
As 0.335 0.335 0.670
As 0.665 0.665 0.330
Rh 0.000 0.000 0.000

Calculated values
Calculated total energy, eV per cell: -32.08
ΔH_f (0 K), kJ per mole of atoms: -5